The following is a DFT calculation (GGA+U) of an optimized crystal structure of Mg3VF.

abc: 5.330 5.330 5.330
angles: 90.00 90.00 90.00
Positions (direct):
Mg: 0.000 0.500 0.000
Mg: 0.000 0.000 0.500
Mg: 0.500 0.000 0.000
V: 0.000 0.000 0.000
F: 0.500 0.500 0.500

excess energy over the best structure of this formula in the dataset	94.9	kJ per mole of atoms
density of states at the Fermi level	0.8	states/eV per cell
space-group type	Pm-3m, No. 221